No. 1
Compound: FePb3C
Source: Alexandria
Functional: SCAN
Structure: single point on PBEsol structure

a = 4.9232 Å, b = 4.9232 Å, c = 4.9232 Å
α = 90.00°, β = 90.00°, γ = 90.00°
Closest atoms and distances in Å follow each position.
Element x y z (fractional)
Pb: 0.0000 0.0000 0.5000  2 Fe 2.46
Pb: 0.0000 0.5000 0.0000  2 Fe 2.46
Pb: 0.5000 0.0000 0.0000  2 Fe 2.46
Fe: 0.0000 0.0000 0.0000  6 Pb 2.46
C: 0.5000 0.5000 0.5000  12 Pb 3.48

Values from the calculation:
M_tot: 1.997 μB per formula unit
total DFT energy (no corrections): -49.712 eV per atom
density of states at the Fermi level: 2.31 states/eV per cell
calculated volume: 119 Å³/f.u.
energy of formation: 1.403 eV per atom



No. 2
Compound: Cr2TcPt
Source: Alexandria
Functional: SCAN
Structure: single point on PBEsol structure

a = 3.7611 Å, b = 3.7611 Å, c = 4.5121 Å
α = 114.63°, β = 114.63°, γ = 90.00°
Closest atoms and distances in Å follow each position.
Element x y z (fractional)
Cr: 0.7500 0.2500 0.5000  4 Tc 2.62, 4 Pt 2.62, 4 Cr 2.66
Cr: 0.2500 0.7500 0.5000  4 Tc 2.62, 4 Pt 2.62, 4 Cr 2.66
Pt: 0.0000 0.0000 0.0000  8 Cr 2.62, 4 Tc 2.66
Tc: 0.5000 0.5000 0.0000  8 Cr 2.62, 4 Pt 2.66

Values from the calculation:
M_tot: 0.000 μB per formula unit
total DFT energy (no corrections): -35.590 eV per atom
density of states at the Fermi level: 3.65 states/eV per cell
calculated volume: 52 Å³/f.u.
energy of formation: -0.084 eV per atom



No. 3
Compound: Li2CoIr
Source: Alexandria
Functional: SCAN
Structure: single point on PBEsol structure

a = 2.5111 Å, b = 4.3620 Å, c = 4.4352 Å
α = 90.00°, β = 92.30°, γ = 90.00°
Closest atoms and distances in Å follow each position.
Element x y z (fractional)
Li: 0.2853 0.0000 0.2520  6 Li 2.41-2.67, 2 Co 2.52, 2 Ir 2.56
Li: 0.7147 0.0000 0.7480  6 Li 2.41-2.67, 2 Co 2.52, 2 Ir 2.56
Ir: 0.0000 0.5000 0.5000  4 Co 2.50-2.59, 2 Ir 2.51, 4 Li 2.56
Co: 0.5000 0.5000 0.0000  4 Ir 2.50-2.59, 2 Co 2.51, 4 Li 2.52

Values from the calculation:
M_tot: 1.440 μB per formula unit
total DFT energy (no corrections): -23.428 eV per atom
density of states at the Fermi level: 1.76 states/eV per cell
calculated volume: 49 Å³/f.u.
energy of formation: -0.132 eV per atom



No. 4
Compound: Cu2SiMo
Source: Alexandria
Functional: SCAN
Structure: single point on PBEsol structure

a = 2.8932 Å, b = 2.8932 Å, c = 6.0454 Å
α = 90.00°, β = 90.00°, γ = 90.00°
Closest atoms and distances in Å follow each position.
Element x y z (fractional)
Cu: 0.0000 0.0000 0.2833  4 Si 2.43, 1 Cu 2.62, 4 Mo 2.67
Cu: 0.0000 0.0000 0.7167  4 Si 2.43, 1 Cu 2.62, 4 Mo 2.67
Mo: 0.5000 0.5000 0.0000  8 Cu 2.67, 4 Mo 2.89
Si: 0.5000 0.5000 0.5000  8 Cu 2.43

Values from the calculation:
formation energy from raw total energies: 0.211 eV per atom
M_tot: 0.000 μB per formula unit
total DFT energy (no corrections): -18.613 eV per atom
density of states at the Fermi level: 1.15 states/eV per cell
calculated volume: 51 Å³/f.u.